(1)
Compound: SiINO2
Source: Alexandria via LeMat-Bulk
Functional: meta-GGA SCAN
Structure: single point on PBEsol structure

Values from the calculation:
- Fermi-level density of states: 1.85 states/eV/f.u.
- ΔE_f (raw): -0.40 eV/atom

abc: 3.535 3.535 4.101
angles: 90.00 90.00 90.00
Positions (direct):
I1 0.500 0.500 0.500
Si1 0.000 0.000 0.000
O1 0.000 0.500 0.000
O2 0.500 0.000 0.000
N1 0.000 0.000 0.500

(2)
Compound: Zn2FeNi
Source: Alexandria via LeMat-Bulk
Functional: meta-GGA SCAN
Structure: single point on PBEsol structure

Values from the calculation:
- Energy relative to the elements: -94.9 meV/atom
- Fermi-level density of states: 1.74 states/eV/f.u.

abc: 2.590 2.590 7.139
angles: 90.00 90.00 90.00
Each line ends with the local moment (μB).
Positions (direct):
Ni1 0.500 0.500 0.741  0.55
Zn1 0.000 0.000 0.980  -0.03
Zn2 0.500 0.500 0.264  -0.07
Fe1 0.000 0.000 0.515  2.79

(3)
Compound: KCo2Cu
Source: Alexandria via LeMat-Bulk
Functional: meta-GGA SCAN
Structure: single point on PBEsol structure

Values from the calculation:
- Energy relative to the elements: 851.8 meV/atom
- Fermi-level density of states: 2.49 states/eV/f.u.

abc: 3.029 3.029 7.379
angles: 90.00 90.00 90.00
Each line ends with the local moment (μB).
Positions (direct):
Co1 0.000 0.000 0.850  1.84
Co2 0.000 0.000 0.150  1.84
Cu1 0.500 0.500 0.000  0.09
K1 0.500 0.500 0.500  -0.04

(4)
Compound: CrRh
Source: Alexandria via LeMat-Bulk
Functional: meta-GGA SCAN
Structure: single point on PBEsol structure

Values from the calculation:
- Energy relative to the elements: -28.4 meV/atom
- Fermi-level density of states: 2.05 states/eV/f.u.

abc: 4.142 4.563 5.224
angles: 90.00 90.00 90.00
Positions (direct):
Cr1 0.750 0.919 0.877
Cr2 0.250 0.581 0.377
Cr3 0.750 0.419 0.623
Cr4 0.250 0.081 0.123
Rh1 0.750 0.907 0.373
Rh2 0.250 0.593 0.873
Rh3 0.750 0.407 0.127
Rh4 0.250 0.093 0.627

Number 1: total magnetization 0.000 μB per formula unit. Number 2: total magnetization 3.086 μB per formula unit. Number 3: total magnetization 3.464 μB per formula unit. Number 4: total magnetization 0.000 μB per formula unit.